This record from Alexandria describes a relaxed TmMg14In crystal. The functional is PBE-GGA.

a = 6.6319 Å, b = 6.6319 Å, c = 8.6236 Å
α = 90.00°, β = 90.00°, γ = 90.00°
Fractional positions:
1 Mg 0.1261 0.6239 0.7556
2 Mg 0.1260 0.1260 0.7556
3 Mg 0.3750 0.8750 0.0000
4 Mg 0.8750 0.8750 0.0000
5 Mg 0.8750 0.3750 0.0000
6 Tm 0.8750 0.8750 0.5000
7 Mg 0.3750 0.8750 0.5000
8 Mg 0.1260 0.1260 0.2444
9 Mg 0.8750 0.3750 0.5000
10 Mg 0.6239 0.1261 0.2444
11 Mg 0.6240 0.6240 0.7556
12 Mg 0.6240 0.6240 0.2444
13 Mg 0.6239 0.1261 0.7556
14 In 0.3750 0.3750 0.5000
15 Mg 0.3750 0.3750 0.0000
16 Mg 0.1261 0.6239 0.2444

Computed properties:
DOS at the Fermi energy = 0.67 states/eV/atom
DFT formation energy = -0.002 eV per atom

***

This record from Alexandria describes a relaxed YTmMgIn crystal. The functional is PBE-GGA.

a = 5.2833 Å, b = 5.2833 Å, c = 5.2833 Å
α = 60.00°, β = 60.00°, γ = 60.00°
Fractional positions:
1 In 0.2500 0.2500 0.2500
2 Tm 0.5000 0.5000 0.5000
3 Y 0.0000 0.0000 0.0000
4 Mg 0.7500 0.7500 0.7500

Computed properties:
DOS at the Fermi energy = 0.71 states/eV/atom
DFT formation energy = -0.321 eV per atom

***

This record from Alexandria describes a relaxed TmMgZnIn crystal. The functional is PBE-GGA.

a = 4.9906 Å, b = 4.9906 Å, c = 4.9906 Å
α = 60.00°, β = 60.00°, γ = 60.00°
Fractional positions:
1 Zn 0.0000 0.0000 0.0000
2 Mg 0.2500 0.2500 0.2500
3 Tm 0.7500 0.7500 0.7500
4 In 0.5000 0.5000 0.5000

Computed properties:
DOS at the Fermi energy = 0.32 states/eV/atom
DFT formation energy = -0.285 eV per atom

***

This record from Alexandria describes a relaxed MgUIn2 crystal. The functional is PBE-GGA.

a = 3.0890 Å, b = 3.0890 Å, c = 9.7631 Å
α = 90.00°, β = 90.00°, γ = 90.00°
Fractional positions:
1 In 0.0000 0.0000 0.7635
2 In 0.0000 0.0000 0.2365
3 U 0.5000 0.5000 0.5000
4 Mg 0.5000 0.5000 0.0000

Computed properties:
DOS at the Fermi energy = 1.31 states/eV/atom
DFT formation energy = 0.065 eV per atom

***

This record from Alexandria describes a relaxed MgUIn crystal. The functional is PBE-GGA.

a = 3.0819 Å, b = 3.0819 Å, c = 8.3807 Å
α = 90.00°, β = 90.00°, γ = 120.00°
Fractional positions:
1 U 0.0000 0.0000 0.9988
2 Mg 0.6667 0.3333 0.3423
3 In 0.3333 0.6667 0.6589

Computed properties:
DOS at the Fermi energy = 1.94 states/eV/atom
DFT formation energy = 0.145 eV per atom

***

This record from Alexandria describes a relaxed MgU2In9 crystal. The functional is PBE-GGA.

a = 4.6391 Å, b = 4.6391 Å, c = 13.8427 Å
α = 90.00°, β = 90.00°, γ = 90.00°
Fractional positions:
1 In 0.0000 0.5000 0.5000
2 In 0.5000 0.5000 0.6655
3 In 0.5000 0.5000 0.0000
4 Mg 0.0000 0.0000 0.0000
5 In 0.5000 0.0000 0.1622
6 U 0.0000 0.0000 0.3317
7 In 0.0000 0.5000 0.8378
8 In 0.5000 0.5000 0.3345
9 U 0.0000 0.0000 0.6683
10 In 0.5000 0.0000 0.8378
11 In 0.5000 0.0000 0.5000
12 In 0.0000 0.5000 0.1622

Computed properties:
DOS at the Fermi energy = 1.18 states/eV/atom
DFT formation energy = 0.015 eV per atom

***

This record from Alexandria describes a relaxed MgUIn2 crystal. The functional is PBE-GGA.

a = 4.5014 Å, b = 4.6837 Å, c = 4.6837 Å
α = 90.00°, β = 90.00°, γ = 90.00°
Fractional positions:
1 In 0.0000 0.0000 0.5000
2 Mg 0.5000 0.5000 0.5000
3 U 0.5000 0.0000 0.0000
4 In 0.0000 0.5000 0.0000

Computed properties:
DOS at the Fermi energy = 1.62 states/eV/atom
DFT formation energy = 0.087 eV per atom

***

This record from Alexandria describes a relaxed Mg3VIn crystal. The functional is PBE-GGA.

a = 5.2899 Å, b = 5.2899 Å, c = 5.2899 Å
α = 90.00°, β = 90.00°, γ = 90.00°
Fractional positions:
1 Mg 0.0000 0.0000 0.5000
2 Mg 0.0000 0.5000 0.0000
3 In 0.5000 0.5000 0.5000
4 Mg 0.5000 0.0000 0.0000
5 V 0.0000 0.0000 0.0000

Computed properties:
DOS at the Fermi energy = 0.62 states/eV/atom
DFT formation energy = 0.767 eV per atom

***

This record from Alexandria describes a relaxed MgVIn2 crystal. The functional is PBE-GGA.

a = 7.8055 Å, b = 7.8055 Å, c = 6.3018 Å
α = 51.73°, β = 51.73°, γ = 90.00°
Fractional positions:
1 Mg 0.5000 0.5000 0.0000
2 In 0.3750 0.3614 0.7500
3 In 0.1114 0.6250 0.2500
4 In 0.6386 0.1250 0.2500
5 V 0.0000 0.0000 0.0000
6 V 0.7500 0.2500 0.5000
7 In 0.8750 0.8886 0.7500
8 Mg 0.2500 0.7500 0.5000

Computed properties:
DOS at the Fermi energy = 1.15 states/eV/atom
DFT formation energy = 0.493 eV per atom

***

This record from Alexandria describes a relaxed MgVIn2 crystal. The functional is PBE-GGA.

a = 3.1719 Å, b = 3.1719 Å, c = 10.9500 Å
α = 81.67°, β = 81.67°, γ = 60.00°
Fractional positions:
1 V 0.0000 0.0000 0.0000
2 In 0.9128 0.9128 0.2617
3 In 0.0872 0.0872 0.7383
4 Mg 0.5000 0.5000 0.5000

Computed properties:
DOS at the Fermi energy = 1.19 states/eV/atom
DFT formation energy = 0.523 eV per atom

***

This record from Alexandria describes a relaxed Mg3VIn crystal. The functional is PBE-GGA.

a = 5.2658 Å, b = 5.2658 Å, c = 5.2658 Å
α = 90.00°, β = 90.00°, γ = 90.00°
Fractional positions:
1 Mg 0.0000 0.5000 0.0000
2 Mg 0.0000 0.0000 0.5000
3 Mg 0.5000 0.0000 0.0000
4 V 0.5000 0.5000 0.5000
5 In 0.0000 0.0000 0.0000

Computed properties:
DOS at the Fermi energy = 1.27 states/eV/atom
DFT formation energy = 0.885 eV per atom

***

This record from Alexandria describes a relaxed MgVIn2 crystal. The functional is PBE-GGA.

a = 3.6035 Å, b = 3.6035 Å, c = 6.3376 Å
α = 90.00°, β = 90.00°, γ = 90.00°
Fractional positions:
1 V 0.5000 0.5000 0.0000
2 In 0.0000 0.0000 0.7617
3 Mg 0.5000 0.5000 0.5000
4 In 0.0000 0.0000 0.2383

Computed properties:
DOS at the Fermi energy = 0.36 states/eV/atom
DFT formation energy = 0.149 eV per atom

***

Number 1: total magnetization 0.0 μB/f.u.. Number 2: total magnetization 0.0 μB/f.u.. Number 3: total magnetization 0.0 μB/f.u.. Number 4: total magnetization 2.9 μB/f.u.. Number 5: total magnetization 2.2 μB/f.u.. Number 6: total magnetization 5.6 μB/f.u.. Number 7: total magnetization 2.8 μB/f.u.. Number 8: total magnetization 4.4 μB/f.u.. Number 9: total magnetization 2.5 μB/f.u.. Number 10: total magnetization 3.1 μB/f.u.. Number 11: total magnetization 4.4 μB/f.u.. Number 12: total magnetization 2.7 μB/f.u..